Below is a geometry-optimized Ta2CdRe structure, with properties calculated at the PBE level.

**Space-group type**: Cmm2, No. 35

Cell and atoms, written as extended XYZ:
```
4
Lattice="1.622 -2.325 0.000 1.622 2.325 0.000 0.000 0.000 9.502" Properties=species:S:1:pos:R:3 pbc="T T T"
Ta 0.000 0.000 0.000
Ta 1.622 0.000 2.366
Cd 1.622 0.000 6.941
Re 0.000 0.000 4.489
```

=====

Below is a geometry-optimized Ta2CdRe structure, with properties calculated at the PBE level.

**Space-group type**: Immm, No. 71

Cell and atoms, written as extended XYZ:
```
4
Lattice="-1.749 2.303 4.413 1.749 -2.303 4.413 1.749 2.303 -4.413" Properties=species:S:1:pos:R:3 pbc="T T T"
Ta 0.000 0.000 2.036
Ta 0.000 0.000 6.791
Cd 0.000 2.303 0.000
Re 1.749 0.000 0.000
```

=====

Below is a geometry-optimized TaCd2Re structure, with properties calculated at the PBE level.

**Space-group type**: F-43m, No. 216

Cell and atoms, written as extended XYZ:
```
4
Lattice="0.000 3.313 3.313 3.313 0.000 3.313 3.313 3.313 0.000" Properties=species:S:1:pos:R:3 pbc="T T T"
Ta 0.000 0.000 0.000
Cd 1.657 1.657 1.657
Cd 3.313 3.313 3.313
Re 4.970 4.970 4.970
```

=====

Energy relative to the elements
In order: 0.16, 0.22, 0.51
Unit: eV per atom